## i
{
  "formula": "CdOs3Cl",
  "functional": "PBE",
  "state": "relaxed",
  "lattice": [[5.022, 0.000, 0.000], [0.000, 5.022, 0.000], [0.000, 0.000, 5.022]],
  "species": ["Cd", "Os", "Os", "Os", "Cl"],
  "frac_coords": [[0.000, 0.000, 0.000], [0.000, 0.000, 0.500], [0.000, 0.500, 0.000], [0.500, 0.000, 0.000], [0.500, 0.500, 0.500]],
  "total_magnetization_mub_per_cell": 8.2,
  "volume_a3_per_cell": 126.7,
  "crystal_system": "cubic"
}


## ii
{
  "formula": "CdOs3Cl",
  "functional": "PBE",
  "state": "relaxed",
  "lattice": [[4.396, 0.000, 0.000], [0.000, 4.396, 0.000], [0.000, 0.000, 4.396]],
  "species": ["Cd", "Os", "Os", "Os", "Cl"],
  "frac_coords": [[0.000, 0.000, 0.000], [0.000, 0.500, 0.500], [0.500, 0.000, 0.500], [0.500, 0.500, 0.000], [0.500, 0.500, 0.500]],
  "total_magnetization_mub_per_cell": 0.0,
  "volume_a3_per_cell": 85.0,
  "crystal_system": "cubic"
}


Relative energy table, unit meV/atom: i 1415; ii 0


## i
{
  "formula": "CdOsSCl2",
  "functional": "PBE",
  "state": "relaxed",
  "lattice": [[4.975, 0.000, 0.000], [0.000, 4.975, 0.000], [0.000, 0.000, 5.309]],
  "species": ["Cd", "Os", "S", "Cl", "Cl"],
  "frac_coords": [[0.000, 0.000, 0.000], [0.500, 0.500, 0.500], [0.000, 0.000, 0.500], [0.000, 0.500, 0.000], [0.500, 0.000, 0.000]],
  "total_magnetization_mub_per_cell": 4.5,
  "volume_a3_per_cell": 131.4,
  "crystal_system": "tetragonal"
}


## ii
{
  "formula": "CdOsSCl2",
  "functional": "PBE",
  "state": "relaxed",
  "lattice": [[4.998, 0.000, 0.000], [0.000, 4.998, 0.000], [0.000, 0.000, 4.443]],
  "species": ["Cd", "Os", "S", "Cl", "Cl"],
  "frac_coords": [[0.000, 0.000, 0.000], [0.500, 0.500, 0.500], [0.500, 0.500, 0.000], [0.000, 0.500, 0.500], [0.500, 0.000, 0.500]],
  "total_magnetization_mub_per_cell": 0.0,
  "volume_a3_per_cell": 111.0,
  "crystal_system": "tetragonal"
}


Relative energy table, unit meV/atom: i 958; ii 0